! PBEsol SbPbAu2, relaxed; values from VASP
! Final energy, eV per atom: -4.08
! Formation energy from raw total energies, eV/atom: 0.0243
! Volume, Å³ per atom: 22.443
! Spin magnetization, μB per cell: 0.0
&SYSTEM
  ibrav = 0, nat = 4, ntyp = 3
/
ATOMIC_SPECIES
Sb 121.76 Sb.upf
Au 196.97 Au.upf
Pb 207.20 Pb.upf
ATOMIC_POSITIONS crystal
Sb 0.5000 0.5000 0.8111
Au 0.0000 0.0000 0.0165
Au 0.5000 0.5000 0.2149
Pb 0.0000 0.0000 0.4575
CELL_PARAMETERS angstrom
-1.1903 -3.1231 0.8837
2.0791 -0.0094 2.7672
-5.4132 3.2172 4.0781